*P*
VASP calculation (PBE-GGA) on a relaxed structure of YMn2Sn2.

Values from the calculation:
The calculation puts the calculated volume at 19.98 Å³ per atom. The calculation puts the size of the total moment at 2.3 μB per cell.

Cell lengths 4.5541, 4.5541, 5.7943 Å; angles 66.86, 66.86, 90.00 degrees
Site moments in Bohr magnetons follow the coordinates.
Positions (direct):
Y 0.0000 0.0000 0.0000  -0.07
Mn 0.3976 0.3976 0.2048  1.16
Mn 0.6024 0.6024 0.7952  1.16
Sn 0.7500 0.2500 0.5000  -0.03
Sn 0.2500 0.7500 0.5000  -0.03



*Q*
VASP calculation (PBE-GGA) on a relaxed structure of YMn2Sn2.

Values from the calculation:
The calculation puts the calculated volume at 21.78 Å³ per atom. The calculation puts the size of the total moment at 6.7 μB per cell.

Cell lengths 4.2606, 4.2606, 6.7119 Å; angles 71.49, 71.49, 90.00 degrees
Site moments in Bohr magnetons follow the coordinates.
Positions (direct):
Y 0.0000 0.0000 0.0000  -0.02
Mn 0.7500 0.2500 0.5000  3.32
Mn 0.2500 0.7500 0.5000  3.32
Sn 0.3827 0.3827 0.2346  -0.10
Sn 0.6173 0.6173 0.7654  -0.10



Most stable structure, least stable structure: *Q*, *P*.